The following is a PBE calculation of crystalline Mg2TaPt at its relaxed geometry, from Alexandria.

Geometry as CIF:
```
data_Mg2TaPt
_chemical_formula_sum 'Mg2 Ta1 Pt1'
_symmetry_space_group_name_H-M 'P 1 2/m 1'
_symmetry_Int_Tables_number 10
_cell_length_a 2.863
_cell_length_b 4.595
_cell_length_c 5.434
_cell_angle_alpha 90.00
_cell_angle_beta 101.88
_cell_angle_gamma 90.00
loop_
_symmetry_equiv_pos_as_xyz
'x,y,z'
'-x,-y,-z'
'-x,y,-z'
'x,-y,z'
loop_
_atom_site_label
_atom_site_type_symbol
_atom_site_fract_x
_atom_site_fract_y
_atom_site_fract_z
_atom_site_occupancy
Mg1 Mg 0.178 0.000 0.260 1
Ta1 Ta 0.500 0.500 0.000 1
Pt1 Pt 0.000 0.500 0.500 1
```

Results
The calculated formation energy is -0.61 eV/f.u. The value obtained for the energy above the most stable polymorph in this dataset is 3.06 kcal/mol of atoms.

***

The following is a PBE calculation of crystalline CdFeP4 at its relaxed geometry, from Alexandria.

Geometry as CIF:
```
data_CdFeP4
_chemical_formula_sum 'Cd4 Fe4 P16'
_symmetry_space_group_name_H-M 'F -4 3 m'
_symmetry_Int_Tables_number 216
_symmetry_space_group_name_Hall 'F -4 2 3'
_cell_length_a 7.257
_cell_length_b 7.257
_cell_length_c 7.257
_cell_angle_alpha 90.00
_cell_angle_beta 90.00
_cell_angle_gamma 90.00
loop_
_atom_site_label
_atom_site_type_symbol
_atom_site_fract_x
_atom_site_fract_y
_atom_site_fract_z
_atom_site_occupancy
Cd1 Cd 0.000 0.000 0.000 1
Fe1 Fe 0.250 0.250 0.750 1
P1 P 0.123 0.123 0.377 1
```

Results
The calculated formation energy is 4.21 eV/f.u.

***

The following is a PBE calculation of crystalline Al4FeRu3 at its relaxed geometry, from Alexandria.

Geometry as CIF:
```
data_Al4FeRu3
_chemical_formula_sum 'Al8 Fe2 Ru6'
_symmetry_space_group_name_H-M 'I 4/m m m'
_symmetry_Int_Tables_number 139
_symmetry_space_group_name_Hall '-I 4 2'
_cell_length_a 4.226
_cell_length_b 4.226
_cell_length_c 11.900
_cell_angle_alpha 90.00
_cell_angle_beta 90.00
_cell_angle_gamma 90.00
loop_
_atom_site_label
_atom_site_type_symbol
_atom_site_fract_x
_atom_site_fract_y
_atom_site_fract_z
_atom_site_occupancy
Al1 Al 0.000 0.500 0.125 1
Fe1 Fe 0.000 0.000 0.000 1
Ru1 Ru 0.000 0.000 0.247 1
Ru2 Ru 0.000 0.000 0.500 1
```

Results
The calculated formation energy is -4.69 eV/f.u.

***

The following is a PBE calculation of crystalline Nd8Os3I4Cl at its relaxed geometry, from Alexandria.

Geometry as CIF:
```
data_Nd8Os3I4Cl
_chemical_formula_sum 'Nd24 Os9 I12 Cl3'
_symmetry_space_group_name_H-M 'R -3 m'
_symmetry_Int_Tables_number 166
_symmetry_space_group_name_Hall '-R 3 2"'
_cell_length_a 8.5420
_cell_length_b 8.5420
_cell_length_c 24.1400
_cell_angle_alpha 90.00
_cell_angle_beta 90.00
_cell_angle_gamma 120.00
loop_
_atom_site_label
_atom_site_type_symbol
_atom_site_fract_x
_atom_site_fract_y
_atom_site_fract_z
_atom_site_occupancy
Nd1 Nd 0.0000 0.0000 0.2287 1
Nd2 Nd 0.0270 0.5135 0.7711 1
Os1 Os 0.0000 0.5000 0.5000 1
I1 I 0.0000 0.0000 0.0000 1
I2 I 0.0000 0.5000 0.0000 1
Cl1 Cl 0.0000 0.0000 0.5000 1
```

Results
The value obtained for the uncorrected formation energy is -0.72 eV/atom.

***

no.,total magnetic moment (μB/f.u.)
1,0.00
2,3.05
3,1.71
4,0.00